First-principles (GGA+U) data for a relaxed AlCrIn2O6 crystal, as listed in the Alexandria database.

Computed properties:
- DFT total energy (eV/atom) = -6.63
- calculated density (g cm⁻³) = 6.08
- volume (Å³/cell) = 110.4
- crystal system = trigonal
- spin magnetization (μB per atom) = 0.30

POSCAR file:
```
AlCrIn2O6
1.0
2.634 1.521 4.593
-2.634 1.521 4.593
0.000 -3.042 4.593
Al Cr In O
1 1 2 6
Cartesian
0.000 0.000 0.000
0.000 0.000 6.908
0.000 0.000 2.988
0.000 0.000 9.879
-1.704 0.298 5.877
-1.001 -1.265 8.225
0.594 -1.624 5.877
-0.595 1.499 8.225
1.110 1.327 5.877
1.596 -0.234 8.225
```